Entry 1:
Compound: La2TbPrNd5
Source: the Alexandria database
Functional: PBE-GGA
Structure: optimized geometry

Results
- spin magnetization (μB per atom) = 0.000
- formation energy from the elements (eV per atom) = 0.242

Unit cell a=8.853 b=8.853 c=10.299 alpha=115.45 beta=115.45 gamma=90.00
Element x y z (fractional)
La 0.119 0.381 0.000
La 0.619 0.119 0.000
La 0.381 0.881 0.000
La 0.881 0.619 0.000
Tb 0.250 0.750 0.500
Tb 0.750 0.250 0.500
Pr 0.250 0.250 0.500
Pr 0.750 0.750 0.500
Nd 0.925 0.425 0.284
Nd 0.642 0.142 0.716
Nd 0.075 0.575 0.716
Nd 0.142 0.075 0.716
Nd 0.575 0.642 0.716
Nd 0.858 0.925 0.284
Nd 0.425 0.358 0.284
Nd 0.358 0.858 0.284
Nd 0.500 0.500 0.000
Nd 0.000 0.000 0.000

=====

Entry 2:
Compound: YMgCu4
Source: the Alexandria database
Functional: PBE-GGA
Structure: optimized geometry

Results
- spin magnetization (μB per atom) = 0.000
- formation energy from the elements (eV per atom) = 0.037

Unit cell a=3.569 b=6.955 c=7.995 alpha=90.00 beta=90.00 gamma=90.00
Element x y z (fractional)
Y 0.000 0.618 0.250
Y 0.000 0.382 0.750
Mg 0.000 0.202 0.250
Mg 0.000 0.798 0.750
Cu 0.000 0.000 0.000
Cu 0.000 0.000 0.500
Cu 0.500 0.935 0.250
Cu 0.500 0.065 0.750
Cu 0.500 0.296 0.028
Cu 0.500 0.296 0.472
Cu 0.500 0.704 0.972
Cu 0.500 0.704 0.528

=====

Entry 3:
Compound: TiNiI3
Source: the Alexandria database
Functional: PBE-GGA
Structure: optimized geometry

Results
- spin magnetization (μB per atom) = 0.000
- ΔE_f (raw) (eV/f.u.) = 2.74

Unit cell a=5.217 b=5.217 c=5.217 alpha=90.00 beta=90.00 gamma=90.00
Element x y z (fractional)
I 0.000 0.500 0.000
I 0.000 0.000 0.500
I 0.500 0.000 0.000
Ni 0.000 0.000 0.000
Ti 0.500 0.500 0.500

=====

Entry 4:
Compound: Pm12PrIn6
Source: the Alexandria database
Functional: PBE-GGA
Structure: optimized geometry

Results
- spin magnetization (μB per atom) = 0.000
- formation energy from the elements (eV per atom) = -0.229

Unit cell a=8.368 b=8.368 c=8.368 alpha=89.09 beta=89.09 gamma=89.09
Element x y z (fractional)
Pm 0.808 0.529 0.432
Pm 0.432 0.808 0.529
Pm 0.529 0.432 0.808
Pm 0.192 0.471 0.568
Pm 0.568 0.192 0.471
Pm 0.471 0.568 0.192
Pm 0.076 0.124 0.386
Pm 0.876 0.614 0.924
Pm 0.614 0.924 0.876
Pm 0.924 0.876 0.614
Pm 0.124 0.386 0.076
Pm 0.386 0.076 0.124
Pr 0.000 0.000 0.000
In 0.722 0.878 0.260
In 0.740 0.278 0.122
In 0.122 0.740 0.278
In 0.278 0.122 0.740
In 0.260 0.722 0.878
In 0.878 0.260 0.722

=====

Entry 5:
Compound: Fe2Se
Source: the Alexandria database
Functional: PBE-GGA
Structure: optimized geometry

Results
- spin magnetization (μB per atom) = 1.945
- relative energy among the computed polymorphs (meV/atom) = 566.5
- ΔE_f (raw) (eV/f.u.) = 1.27

Unit cell a=5.021 b=5.021 c=5.021 alpha=60.00 beta=60.00 gamma=60.00
Last column: magnetic moment on the atom in μB.
Element x y z (fractional)
Fe 0.125 0.625 0.125  2.81
Fe 0.125 0.125 0.125  2.81
Fe 0.625 0.125 0.125  2.81
Fe 0.125 0.125 0.625  2.81
Se 0.750 0.750 0.750  0.08
Se 0.500 0.500 0.500  0.08

=====

Entry 6:
Compound: Ta2CrS4
Source: the Alexandria database
Functional: PBE-GGA
Structure: optimized geometry

Results
- spin magnetization (μB per atom) = 0.439
- relative energy among the computed polymorphs (meV/atom) = 0.0
- ΔE_f (raw) (eV/f.u.) = -6.11

Unit cell a=3.405 b=5.877 c=6.825 alpha=112.23 beta=104.44 gamma=90.00
Last column: magnetic moment on the atom in μB.
Element x y z (fractional)
Ta 0.751 0.712 0.502  -0.04
Ta 0.249 0.288 0.498  -0.04
Cr 0.000 0.000 0.000  2.92
S 0.864 0.182 0.727  -0.01
S 0.136 0.818 0.273  -0.01
S 0.609 0.291 0.217  -0.01
S 0.391 0.709 0.783  -0.01

=====

What is the formula in the fifth record? Fe2Se